Computed, not measured: a PBEsol-optimized structure of BaScW2 at the meta-GGA SCAN level of DFT.

a = 4.8619 Å, b = 4.8619 Å, c = 4.8619 Å
α = 60.00°, β = 60.00°, γ = 60.00°
With the nearest neighbours (Å) after each atom.
Element x y z (fractional)
1 Ba 0.5000 0.5000 0.5000  4 W 2.98, 4 Sc 2.98
2 W 0.0000 0.0000 0.0000  4 W 2.98, 4 Sc 2.98
3 W 0.7500 0.7500 0.7500  4 Ba 2.98, 4 W 2.98
4 Sc 0.2500 0.2500 0.2500  4 Ba 2.98, 4 W 2.98

## Properties
Size of the total moment   0.00 μB/f.u.
Energy   -46.941 eV per atom
DOS(E_F)   6.99 states/eV per cell
Offset from the most stable computed form   799 meV per atom
Energy of formation from the pure elements   1349 meV/atom
Crystal system   cubic
Volume   20.32 Å³/atom